A geometry-optimized CsCuTe structure, computed with PBE.

Cell and atoms, written as POSCAR:
```
CsCuTe
1.0
5.8222 0.0000 0.0000
0.0000 4.5258 0.0000
0.0000 -2.2629 3.9194
Te Cs Cu
1 1 1
Direct
0.1664 0.0000 0.0000
0.6665 0.6667 0.3333
0.1672 0.3333 0.6667
```

## Properties
D(E_F) = 0.01 states/eV/f.u.
space group = P-6m2, No. 187

---

A geometry-optimized CsCuTe2 structure, computed with PBE.

Cell and atoms, written as POSCAR:
```
CsCuTe2
1.0
-2.0949 2.4776 2.4541
-3.7281 -1.0472 1.2467
1.6089 -3.6245 8.4043
Cu Te Cs
1 2 1
Direct
0.0000 0.0000 0.0000
0.7205 0.7205 0.8386
0.2795 0.2795 0.1614
0.5000 0.5000 0.5000
```

## Properties
D(E_F) = 3.55 states/eV/f.u.
space group = R-3m, No. 166

---

A geometry-optimized CsCu3Te structure, computed with PBE.

Cell and atoms, written as POSCAR:
```
CsCu3Te
1.0
5.2557 0.0000 0.0000
0.0000 5.2557 0.0000
0.0000 0.0000 5.2557
Cs Cu Te
1 3 1
Direct
0.0000 0.0000 0.0000
0.0000 0.5000 0.0000
0.0000 0.0000 0.5000
0.5000 0.0000 0.0000
0.5000 0.5000 0.5000
```

## Properties
D(E_F) = 1.53 states/eV/f.u.
space group = Pm-3m, No. 221
energy above the most stable polymorph in this dataset = 1.099 eV/atom

---

A geometry-optimized CsCuTe2 structure, computed with PBE.

Cell and atoms, written as POSCAR:
```
CsCuTe2
1.0
-5.7062 0.4624 5.6443
3.0067 -6.3742 3.5619
7.0116 5.5083 3.9388
Te Cu Cs
8 4 4
Direct
0.6705 0.9338 0.5107
0.9018 0.1696 0.8131
0.3295 0.0662 0.4893
0.8295 0.4338 0.4893
0.5982 0.6696 0.1869
0.0982 0.8304 0.1869
0.1705 0.5662 0.5107
0.4018 0.3304 0.8131
0.0892 0.3355 0.6745
0.9108 0.6645 0.3255
0.4108 0.8355 0.3255
0.5892 0.1645 0.6745
0.7761 0.6449 0.8393
0.2239 0.3551 0.1607
0.7239 0.1449 0.1607
0.2761 0.8551 0.8393
```

## Properties
space group = P2_1/c, No. 14

---

A geometry-optimized Cs3Cu2Te4 structure, computed with PBE.

Cell and atoms, written as POSCAR:
```
Cs3Cu2Te4
1.0
-1.8389 1.6163 -4.4197
4.9778 -5.4686 -1.1831
-7.8816 -4.8823 1.4938
Te Cu Cs
4 2 3
Direct
0.8537 0.7075 0.6053
0.2742 0.5483 0.9268
0.7258 0.4517 0.0732
0.1463 0.2925 0.3947
0.7178 0.4357 0.3550
0.2822 0.5643 0.6450
0.0000 0.0000 0.0000
0.5934 0.1869 0.6778
0.4066 0.8131 0.3222
```

## Properties
D(E_F) = 3.98 states/eV/f.u.
space group = C2/m, No. 12
energy above the most stable polymorph in this dataset = 0.022 eV/atom

---

A geometry-optimized CsCuTe structure, computed with PBE.

Cell and atoms, written as POSCAR:
```
CsCuTe
1.0
4.4285 0.0000 0.0000
0.0000 6.9399 0.0000
0.0000 0.0000 14.1893
Cu Cs Te
4 4 4
Direct
0.7500 0.9386 0.9664
0.2500 0.0614 0.0336
0.7500 0.4386 0.5336
0.2500 0.5614 0.4664
0.7500 0.3826 0.8475
0.2500 0.1174 0.3475
0.7500 0.8826 0.6525
0.2500 0.6174 0.1525
0.2500 0.3408 0.6183
0.7500 0.6592 0.3817
0.2500 0.8408 0.8817
0.7500 0.1592 0.1183
```

## Properties
space group = Pnma, No. 62

---

A geometry-optimized CsCuTe3 structure, computed with PBE.

Cell and atoms, written as POSCAR:
```
CsCuTe3
1.0
7.4712 0.0293 0.8251
-0.0090 8.2503 -0.2962
0.6763 0.2109 5.8900
Te Cu Cs
6 2 2
Direct
0.5161 0.2015 0.7209
0.0736 0.4682 0.5435
0.0742 0.9329 0.5429
0.3779 0.9686 0.1035
0.9349 0.7005 0.9263
0.3777 0.4334 0.1047
0.1372 0.7001 0.2269
0.3133 0.2004 0.4197
0.8916 0.2006 0.0846
0.5598 0.7014 0.5631
```

## Properties
D(E_F) = 0.96 states/eV/f.u.
space group = P1, No. 1

---

A geometry-optimized CsCuTe2 structure, computed with PBE.

Cell and atoms, written as POSCAR:
```
CsCuTe2
1.0
6.2420 0.0000 0.0000
0.0000 6.2420 0.0000
3.1210 3.1210 8.3063
Cu Te Cs
2 4 2
Direct
0.5000 0.5000 0.0000
0.2500 0.7500 0.5000
0.3750 0.5881 0.7500
0.8750 0.6619 0.7500
0.4119 0.1250 0.2500
0.3381 0.6250 0.2500
0.7500 0.2500 0.5000
0.0000 0.0000 0.0000
```

## Properties
D(E_F) = 3.76 states/eV/f.u.
space group = I-42d, No. 122

---

A geometry-optimized CsCuTe3 structure, computed with PBE.

Cell and atoms, written as POSCAR:
```
CsCuTe3
1.0
5.3859 0.0000 0.0000
0.0000 5.3859 0.0000
0.0000 0.0000 5.3859
Cu Te Cs
1 3 1
Direct
0.0000 0.0000 0.0000
0.5000 0.0000 0.0000
0.0000 0.5000 0.0000
0.0000 0.0000 0.5000
0.5000 0.5000 0.5000
```

## Properties
D(E_F) = 4.46 states/eV/f.u.
space group = Pm-3m, No. 221

---

A geometry-optimized CsCu6Te4 structure, computed with PBE.

Cell and atoms, written as POSCAR:
```
CsCu6Te4
1.0
-0.1047 0.9057 -4.2257
3.5863 -2.3405 -0.5905
-9.5878 -10.7362 0.1478
Te Cu Cs
4 6 1
Direct
0.8049 0.8049 0.6099
0.1951 0.1951 0.3901
0.4152 0.4152 0.8304
0.5848 0.5848 0.1696
0.2500 0.7500 0.5000
0.8643 0.3643 0.7286
0.6357 0.1357 0.2714
0.7500 0.2500 0.5000
0.1357 0.6357 0.2714
0.3643 0.8643 0.7286
0.0000 0.0000 0.0000
```

## Properties
D(E_F) = 4.63 states/eV/f.u.
space group = I4/mmm, No. 139

---

A geometry-optimized CsCuTe structure, computed with PBE.

Cell and atoms, written as POSCAR:
```
CsCuTe
1.0
14.6844 0.0000 0.0000
6.5514 4.0273 0.0000
-6.5514 -1.5948 3.6981
Te Cs Cu
2 2 2
Direct
0.7829 0.8484 0.1516
0.2171 0.1516 0.8484
0.6973 0.2051 0.7949
0.3027 0.7949 0.2051
0.9213 0.2951 0.7049
0.0787 0.7049 0.2951
```

## Properties
space group = C2/m, No. 12

---

A geometry-optimized Cs3Cu2Te4 structure, computed with PBE.

Cell and atoms, written as POSCAR:
```
Cs3Cu2Te4
1.0
-5.2379 -4.6899 -3.9058
4.9917 -8.4241 -1.0025
-3.3079 -5.9265 7.1290
Cu Cs Te
4 6 8
Direct
0.0296 0.5909 0.8459
0.9704 0.4091 0.1541
0.4704 0.1541 0.4091
0.5296 0.8459 0.5909
0.9206 0.9820 0.2661
0.2500 0.5602 0.4398
0.7500 0.4398 0.5602
0.5794 0.7339 0.0180
0.4206 0.2661 0.9820
0.0794 0.0180 0.7339
0.8445 0.7662 0.6523
0.5843 0.0759 0.6494
0.0843 0.6494 0.0759
0.6555 0.3477 0.2338
0.1555 0.2338 0.3477
0.9157 0.3506 0.9241
0.4157 0.9241 0.3506
0.3445 0.6523 0.7662
```

## Properties
D(E_F) = 4.34 states/eV/f.u.
space group = C2/c, No. 15
energy above the most stable polymorph in this dataset = 0.000 eV/atom

---

A geometry-optimized CsCuTe3 structure, computed with PBE.

Cell and atoms, written as POSCAR:
```
CsCuTe3
1.0
6.3096 0.0000 0.0000
0.0000 6.3096 0.0000
0.0000 0.0000 6.3096
Te Cs Cu
3 1 1
Direct
0.5000 0.0000 0.0000
0.0000 0.5000 0.0000
0.0000 0.0000 0.5000
0.0000 0.0000 0.0000
0.5000 0.5000 0.5000
```

## Properties
D(E_F) = 7.72 states/eV/f.u.
space group = Pm-3m, No. 221

---

A geometry-optimized CsCuTe structure, computed with PBE.

Cell and atoms, written as POSCAR:
```
CsCuTe
1.0
-1.2132 -3.2880 1.8382
3.4615 -0.2114 1.9065
-3.5611 5.3453 2.9508
Te Cu Cs
1 1 1
Direct
0.7327 0.7327 0.4654
0.2567 0.2567 0.5135
0.0106 0.0106 0.0211
```

## Properties
D(E_F) = 0.97 states/eV/f.u.
space group = I4mm, No. 107

---

A geometry-optimized CsCu3Te structure, computed with PBE.

Cell and atoms, written as POSCAR:
```
CsCu3Te
1.0
-3.5897 -0.5066 -3.7851
-3.6110 -1.2402 3.5905
-1.2427 5.0670 0.5004
Cs Te Cu
1 1 3
Direct
0.5000 0.5000 0.5000
0.0000 0.0000 0.0000
0.0000 0.5000 0.0000
0.0000 0.0000 0.5000
0.5000 0.0000 0.0000
```

## Properties
D(E_F) = 5.59 states/eV/f.u.
space group = Pm-3m, No. 221
energy above the most stable polymorph in this dataset = 0.000 eV/atom

---

A geometry-optimized CsTh2Cu2Te6 structure, computed with PBE.

Cell and atoms, written as POSCAR:
```
CsTh2Cu2Te6
1.0
-1.8801 8.1107 -1.3870
-0.2166 3.5178 -7.7738
-7.3056 -1.4399 4.4809
Th Te Cu Cs
2 6 2 1
Direct
0.1404 0.6820 0.1757
0.8596 0.3180 0.8243
0.7906 0.2076 0.4332
0.3936 0.7726 0.0317
0.9617 0.6247 0.8404
0.6064 0.2274 0.9683
0.2094 0.7924 0.5668
0.0383 0.3753 0.1596
0.8421 0.2318 0.1608
0.1579 0.7682 0.8392
0.5000 0.0000 0.5000
```

## Properties
D(E_F) = 5.03 states/eV/f.u.
space group = P-1, No. 2

---

A geometry-optimized CsTh2CuTe5 structure, computed with PBE.

Cell and atoms, written as POSCAR:
```
CsTh2CuTe5
1.0
4.9153 0.0000 0.0000
0.0000 7.9525 0.0000
-2.4577 -3.9763 8.3333
Te Th Cu Cs
5 2 1 1
Direct
0.6565 0.4074 0.3130
0.0000 0.0000 0.0000
0.6565 0.9056 0.3130
0.3435 0.5926 0.6870
0.3435 0.0944 0.6870
0.1936 0.1936 0.3872
0.8064 0.8064 0.6128
0.5000 0.0000 0.0000
0.0000 0.5000 0.0000
```

## Properties
space group = Immm, No. 71

---

A geometry-optimized Cs2ThCuTe4 structure, computed with PBE.

Cell and atoms, written as POSCAR:
```
Cs2ThCuTe4
1.0
-2.3702 5.1924 -4.9024
-6.6817 3.4097 1.0679
1.7735 7.2861 1.0857
Te Cs Cu Th
4 2 1 1
Direct
0.8766 0.0000 0.6775
0.4460 0.6775 0.0000
0.1234 0.3225 0.0000
0.5540 0.0000 0.3225
0.0000 0.5000 0.5000
0.5000 0.5000 0.5000
0.5000 0.0000 0.0000
0.0000 0.0000 0.0000
```

## Properties
D(E_F) = 11.63 states/eV/f.u.
space group = I-42m, No. 121

---

A geometry-optimized CsThCuTe4 structure, computed with PBE.

Cell and atoms, written as POSCAR:
```
CsThCuTe4
1.0
-6.9503 -3.3602 0.4098
1.4651 -2.3391 5.6697
-1.3057 9.7862 4.3748
Th Te Cs Cu
2 8 2 2
Direct
0.2697 0.2500 0.5540
0.7303 0.7500 0.4460
0.0004 0.5024 0.6939
0.4185 0.7500 0.5899
0.4640 0.7500 0.1774
0.5815 0.2500 0.4101
0.5360 0.2500 0.8226
0.9996 0.0024 0.3061
0.0004 0.9976 0.6939
0.9996 0.4976 0.3061
0.7722 0.7500 0.9544
0.2278 0.2500 0.0456
0.2854 0.7500 0.3443
0.7146 0.2500 0.6557
```

## Properties
D(E_F) = 6.16 states/eV/f.u.
space group = P2_1/m, No. 11

---

A geometry-optimized Cs2ThCu2Te4 structure, computed with PBE.

Cell and atoms, written as POSCAR:
```
Cs2ThCu2Te4
1.0
-3.8613 1.4921 1.8097
-3.9178 -0.3738 -8.0511
0.8535 -7.9944 2.7730
Th Cs Te Cu
1 2 4 2
Direct
0.0000 0.0000 0.0000
0.1412 0.5688 0.2825
0.8588 0.4312 0.7175
0.8009 0.8484 0.6018
0.5166 0.7646 0.0333
0.1991 0.1516 0.3982
0.4834 0.2354 0.9667
0.6668 0.9834 0.3336
0.3332 0.0166 0.6664
```

## Properties
space group = C2/m, No. 12

---

E_form (uncorrected) (kJ/mol of atoms)
-56.0 -19.8 149.7 -42.8 -50.7 -59.7 -33.6 -40.9 -13.3 -16.1 -59.7 -52.8 133.0 -20.3 43.7 -70.9 -95.0 -70.5 -79.8 -84.5